Material: Sc2Be2Co5W
Method: DFT, PBE
State: optimized geometry

- Calculated density: 7.991 g/cm³
- Space-group type: No. 127
- Uncorrected energy: -7.166 eV/atom
- Formation energy: -306 meV/atom
- M_tot: 0.00 μB/cell

Cell: 8.851 8.851 3.111 Å, 90.00 90.00 90.00°
Atoms (fractional coordinates):
Sc 0.175 0.325 0.000
Sc 0.325 0.825 0.000
Sc 0.675 0.175 0.000
Sc 0.825 0.675 0.000
Be 0.118 0.618 0.000
Be 0.382 0.118 0.000
Be 0.618 0.882 0.000
Be 0.882 0.382 0.000
Co 0.000 0.500 0.500
Co 0.068 0.788 0.500
Co 0.212 0.068 0.500
Co 0.288 0.568 0.500
Co 0.432 0.288 0.500
Co 0.500 0.000 0.500
Co 0.568 0.712 0.500
Co 0.712 0.432 0.500
Co 0.788 0.932 0.500
Co 0.932 0.212 0.500
W 0.000 0.000 0.000
W 0.500 0.500 0.000



Material: CsS
Method: DFT, PBE
State: optimized geometry

- Calculated density: 1.976 g/cm³
- Space-group type: No. 217
- Uncorrected energy: -2.778 eV/atom
- M_tot: 4.01 μB/cell

Cell: 8.965 8.965 8.965 Å, 109.47 109.47 109.47°
Atoms (fractional coordinates):
Cs 0.000 0.000 0.380
Cs 0.000 0.380 0.000
Cs 0.380 0.000 0.000
Cs 0.620 0.620 0.620
S 0.000 0.000 0.763
S 0.000 0.763 0.000
S 0.237 0.237 0.237
S 0.763 0.000 0.000



Material: NiHg2Bi
Method: DFT, PBE
State: optimized geometry

- Calculated density: 10.903 g/cm³
- Space-group type: No. 166
- Uncorrected energy: -2.032 eV/atom
- Formation energy: 535 meV/atom
- M_tot: 0.57 μB/cell

Cell: 10.931 10.931 10.931 Å, 17.40 17.40 17.40°
Atoms (fractional coordinates):
Ni 0.000 0.000 0.000
Hg 0.078 0.078 0.078
Hg 0.922 0.922 0.922
Bi 0.500 0.500 0.500



Material: Ba2AcSe
Method: DFT, PBE
State: optimized geometry

- Calculated density: 4.970 g/cm³
- Space-group type: No. 166
- Uncorrected energy: -3.573 eV/atom
- M_tot: 0.40 μB/cell

Cell: 12.379 12.379 12.379 Å, 19.99 19.99 19.99°
Atoms (fractional coordinates):
Ba 0.111 0.111 0.111
Ba 0.889 0.889 0.889
Ac 0.000 0.000 0.000
Se 0.500 0.500 0.500



Material: KCd2Co
Method: DFT, PBE
State: optimized geometry

- Calculated density: 5.949 g/cm³
- Space-group type: No. 2
- Distance to the lowest polymorph of the same formula: 0.297 eV/atom
- Uncorrected energy: -1.893 eV/atom
- Formation energy: 615 meV/atom
- M_tot: 1.51 μB/cell

Cell: 3.028 5.502 5.529 Å, 78.12 89.79 89.89°
Atoms (fractional coordinates):
K 0.000 0.000 0.000
Cd 0.500 0.000 0.500
Cd 0.500 0.500 0.000
Co 0.000 0.500 0.500



Material: Th8Ge3BiTe4
Method: DFT, PBE
State: optimized geometry

- Calculated density: 9.374 g/cm³
- Space-group type: No. 166
- Uncorrected energy: -6.549 eV/atom
- M_tot: 0.00 μB/cell

Cell: 8.905 8.905 8.905 Å, 59.61 59.61 59.61°
Atoms (fractional coordinates):
Th 0.222 0.753 0.753
Th 0.239 0.239 0.239
Th 0.247 0.247 0.778
Th 0.247 0.778 0.247
Th 0.753 0.222 0.753
Th 0.753 0.753 0.222
Th 0.761 0.761 0.761
Th 0.778 0.247 0.247
Ge 0.000 0.000 0.500
Ge 0.000 0.500 0.000
Ge 0.500 0.000 0.000
Bi 0.500 0.500 0.500
Te 0.000 0.000 0.000
Te 0.000 0.500 0.500
Te 0.500 0.000 0.500
Te 0.500 0.500 0.000



Material: Lu2ZrCd
Method: DFT, PBE
State: optimized geometry

- Calculated density: 9.055 g/cm³
- Space-group type: No. 123
- Distance to the lowest polymorph of the same formula: 0.000 eV/atom
- Uncorrected energy: -4.781 eV/atom
- Formation energy: -155 meV/atom
- M_tot: 0.00 μB/cell

Cell: 3.401 3.401 8.775 Å, 90.00 90.00 90.00°
Atoms (fractional coordinates):
Lu 0.000 0.000 0.246
Lu 0.000 0.000 0.754
Zr 0.500 0.500 0.500
Cd 0.500 0.500 0.000



Material: KCo2Si
Method: DFT, PBE
State: optimized geometry

- Calculated density: 4.076 g/cm³
- Space-group type: No. 6
- Uncorrected energy: -4.875 eV/atom
- M_tot: 2.56 μB/cell

Cell: 2.797 3.859 7.120 Å, 90.00 101.15 90.00°
Atoms (fractional coordinates):
K 0.000 0.000 0.000
Co 0.300 0.500 0.607
Co 0.765 0.000 0.536
Si 0.670 0.500 0.344



Material: Mg4MnPd5
Method: DFT, PBE
State: optimized geometry

- Calculated density: 7.137 g/cm³
- Space-group type: No. 123
- Uncorrected energy: -4.759 eV/atom
- Formation energy: -607 meV/atom
- M_tot: 4.04 μB/cell

Cell: 3.013 3.013 17.533 Å, 90.00 90.00 90.00°
Atoms (fractional coordinates):
Mg 0.000 0.000 0.101
Mg 0.000 0.000 0.303
Mg 0.000 0.000 0.697
Mg 0.000 0.000 0.899
Mn 0.000 0.000 0.500
Pd 0.500 0.500 0.000
Pd 0.500 0.500 0.202
Pd 0.500 0.500 0.405
Pd 0.500 0.500 0.595
Pd 0.500 0.500 0.798



Material: BaMn2IrSe8
Method: DFT, PBE
State: optimized geometry

- Calculated density: 6.058 g/cm³
- Space-group type: No. 147
- Uncorrected energy: -5.209 eV/atom
- M_tot: 3.03 μB/cell

Cell: 6.172 6.172 8.899 Å, 90.00 90.00 120.00°
Atoms (fractional coordinates):
Ba 0.000 0.000 0.000
Mn 0.333 0.667 0.747
Mn 0.667 0.333 0.253
Ir 0.000 0.000 0.500
Se 0.015 0.677 0.337
Se 0.323 0.338 0.337
Se 0.333 0.667 0.996
Se 0.338 0.015 0.663
Se 0.662 0.985 0.337
Se 0.667 0.333 0.004
Se 0.677 0.662 0.663
Se 0.985 0.323 0.663



Material: InGa2Ni2
Method: DFT, PBE
State: optimized geometry

- Calculated density: 8.256 g/cm³
- Space-group type: No. 127
- Distance to the lowest polymorph of the same formula: 0.110 eV/atom
- Uncorrected energy: -4.232 eV/atom
- Formation energy: -161 meV/atom
- M_tot: 0.00 μB/cell

Cell: 7.072 7.072 2.989 Å, 90.00 90.00 90.00°
Atoms (fractional coordinates):
In 0.000 0.000 0.000
In 0.500 0.500 0.000
Ga 0.152 0.348 0.500
Ga 0.348 0.848 0.500
Ga 0.652 0.152 0.500
Ga 0.848 0.652 0.500
Ni 0.141 0.641 0.000
Ni 0.359 0.141 0.000
Ni 0.641 0.859 0.000
Ni 0.859 0.359 0.000



Material: MnCd2PbN
Method: DFT, PBE
State: optimized geometry

- Calculated density: 5.940 g/cm³
- Space-group type: No. 123
- Uncorrected energy: -3.272 eV/atom
- M_tot: 5.25 μB/cell

Cell: 5.228 5.228 5.124 Å, 90.00 90.00 90.00°
Atoms (fractional coordinates):
Mn 0.000 0.000 0.000
Cd 0.000 0.500 0.000
Cd 0.500 0.000 0.000
Pb 0.000 0.000 0.500
N 0.500 0.500 0.500



Material: Ac3In3Cu
Method: DFT, PBE
State: optimized geometry

- Calculated density: 8.028 g/cm³
- Space-group type: No. 12
- Uncorrected energy: -3.876 eV/atom
- Formation energy: -356 meV/atom
- M_tot: 0.00 μB/cell

Cell: 6.441 6.441 16.405 Å, 109.31 109.31 45.15°
Atoms (fractional coordinates):
Ac 0.045 0.045 0.388
Ac 0.099 0.099 0.919
Ac 0.252 0.252 0.235
Ac 0.748 0.748 0.765
Ac 0.901 0.901 0.081
Ac 0.955 0.955 0.612
In 0.358 0.358 0.458
In 0.386 0.386 0.923
In 0.453 0.453 0.760
In 0.547 0.547 0.240
In 0.614 0.614 0.077
In 0.642 0.642 0.542
Cu 0.247 0.247 0.605
Cu 0.753 0.753 0.395



Material: CaIn2Re
Method: DFT, PBE
State: optimized geometry

- Calculated density: 8.977 g/cm³
- Space-group type: No. 10
- Distance to the lowest polymorph of the same formula: 0.023 eV/atom
- Uncorrected energy: -4.711 eV/atom
- Formation energy: 271 meV/atom
- M_tot: 0.00 μB/cell

Cell: 2.995 4.322 6.514 Å, 90.00 90.16 90.00°
Atoms (fractional coordinates):
Ca 0.000 0.000 0.000
In 0.499 0.500 0.719
In 0.501 0.500 0.281
Re 0.000 0.000 0.500



Material: TlSb2Ir
Method: DFT, PBE
State: optimized geometry

- Calculated density: 9.755 g/cm³
- Space-group type: No. 8
- Distance to the lowest polymorph of the same formula: 0.132 eV/atom
- Uncorrected energy: -4.829 eV/atom
- M_tot: 0.00 μB/cell

Cell: 4.788 4.788 6.988 Å, 106.12 106.12 45.51°
Atoms (fractional coordinates):
Tl 0.000 0.000 0.000
Sb 0.641 0.641 0.669
Sb 0.785 0.785 0.306
Ir 0.330 0.330 0.583



Material: AcErThSc
Method: DFT, PBE
State: optimized geometry

- Calculated density: 8.606 g/cm³
- Space-group type: No. 216
- Uncorrected energy: -5.488 eV/atom
- Formation energy: 118 meV/atom
- M_tot: 0.00 μB/cell

Cell: 5.679 5.679 5.679 Å, 60.00 60.00 60.00°
Atoms (fractional coordinates):
Ac 0.000 0.000 0.000
Er 0.250 0.250 0.250
Th 0.500 0.500 0.500
Sc 0.750 0.750 0.750



Material: LiPWI2
Method: DFT, PBE
State: optimized geometry

- Calculated density: 7.281 g/cm³
- Space-group type: No. 123
- Uncorrected energy: -3.241 eV/atom
- M_tot: 0.00 μB/cell

Cell: 5.039 5.039 4.272 Å, 90.00 90.00 90.00°
Atoms (fractional coordinates):
Li 0.000 0.000 0.000
P 0.000 0.000 0.500
W 0.500 0.500 0.500
I 0.000 0.500 0.000
I 0.500 0.000 0.000



Material: SrPdPb2
Method: DFT, PBE
State: optimized geometry

- Calculated density: 9.128 g/cm³
- Space-group type: No. 62
- Uncorrected energy: -4.070 eV/atom
- Formation energy: -497 meV/atom
- M_tot: 0.00 μB/cell

Cell: 17.470 8.118 6.243 Å, 90.00 90.00 90.00°
Atoms (fractional coordinates):
Sr 0.109 0.250 0.247
Sr 0.143 0.750 0.020
Sr 0.357 0.250 0.520
Sr 0.391 0.750 0.747
Sr 0.609 0.250 0.253
Sr 0.643 0.750 0.480
Sr 0.857 0.250 0.980
Sr 0.891 0.750 0.753
Pd 0.075 0.750 0.497
Pd 0.170 0.250 0.761
Pd 0.330 0.750 0.261
Pd 0.425 0.250 0.997
Pd 0.575 0.750 0.003
Pd 0.670 0.250 0.739
Pd 0.830 0.750 0.239
Pd 0.925 0.250 0.503
Pb 0.035 0.049 0.745
Pb 0.035 0.451 0.745
Pb 0.215 0.552 0.519
Pb 0.215 0.948 0.519
Pb 0.285 0.052 0.019
Pb 0.285 0.448 0.019
Pb 0.465 0.549 0.245
Pb 0.465 0.951 0.245
Pb 0.535 0.049 0.755
Pb 0.535 0.451 0.755
Pb 0.715 0.552 0.981
Pb 0.715 0.948 0.981
Pb 0.785 0.052 0.481
Pb 0.785 0.448 0.481
Pb 0.965 0.549 0.255
Pb 0.965 0.951 0.255



Material: Mn2Tl2TeS6
Method: DFT, PBE
State: optimized geometry

- Calculated density: 5.289 g/cm³
- Space-group type: No. 12
- Uncorrected energy: -4.967 eV/atom
- M_tot: 8.00 μB/cell

Cell: 6.391 6.391 7.722 Å, 97.42 97.42 120.19°
Atoms (fractional coordinates):
Mn 0.168 0.832 0.000
Mn 0.832 0.168 0.000
Tl 0.339 0.661 0.500
Tl 0.661 0.339 0.500
Te 0.500 0.500 0.000
S 0.085 0.442 0.815
S 0.199 0.199 0.183
S 0.442 0.085 0.815
S 0.558 0.915 0.185
S 0.801 0.801 0.817
S 0.915 0.558 0.185



Material: BaThPd
Method: DFT, PBE
State: optimized geometry

- Calculated density: 8.013 g/cm³
- Space-group type: No. 38
- Uncorrected energy: -5.054 eV/atom
- Formation energy: -209 meV/atom
- M_tot: 0.00 μB/cell

Cell: 13.671 3.798 3.798 Å, 89.93 90.00 90.00°
Atoms (fractional coordinates):
Ba 0.142 0.000 0.000
Ba 0.858 0.000 0.000
Th 0.386 0.502 0.502
Th 0.614 0.502 0.502
Pd 0.000 0.500 0.500
Pd 0.500 0.003 0.003



Material: ZnSiMo2
Method: DFT, PBE
State: optimized geometry

- Calculated density: 8.033 g/cm³
- Space-group type: No. 47
- Distance to the lowest polymorph of the same formula: 0.117 eV/atom
- Uncorrected energy: -7.007 eV/atom
- M_tot: 0.00 μB/cell

Cell: 3.265 4.120 4.386 Å, 90.00 90.00 90.00°
Atoms (fractional coordinates):
Zn 0.000 0.000 0.000
Si 0.500 0.000 0.500
Mo 0.000 0.500 0.500
Mo 0.500 0.500 0.000



Material: Pm3PtSCl
Method: DFT, PBE
State: optimized geometry

- Calculated density: 7.489 g/cm³
- Space-group type: No. 11
- Uncorrected energy: -5.679 eV/atom
- M_tot: 0.00 μB/cell

Cell: 8.321 4.053 9.416 Å, 90.00 103.03 90.00°
Atoms (fractional coordinates):
Pm 0.077 0.250 0.338
Pm 0.221 0.250 0.995
Pm 0.403 0.750 0.610
Pm 0.597 0.250 0.390
Pm 0.779 0.750 0.005
Pm 0.923 0.750 0.662
Pt 0.166 0.250 0.655
Pt 0.834 0.750 0.345
S 0.316 0.750 0.268
S 0.684 0.250 0.732
Cl 0.405 0.750 0.899
Cl 0.595 0.250 0.101



Material: NiAg2HgH
Method: DFT, PBE
State: optimized geometry

- Calculated density: 10.943 g/cm³
- Space-group type: No. 123
- Uncorrected energy: -2.852 eV/atom
- M_tot: 0.00 μB/cell

Cell: 4.705 4.705 3.264 Å, 90.00 90.00 90.00°
Atoms (fractional coordinates):
Ni 0.000 0.000 0.000
Ag 0.000 0.500 0.500
Ag 0.500 0.000 0.500
Hg 0.500 0.500 0.000
H 0.000 0.000 0.500